[1]
{"formula": "CsCdSnBr5", "functional": "GGA-PBE", "state": "optimized geometry", "lattice": [[-4.452, 0.177, 7.081], [-3.324, -6.031, -4.751], [9.612, -4.110, 3.073]], "species": ["Cs", "Br", "Cd", "Br", "Br", "Br", "Br", "Sn", "Sn", "Br", "Cd", "Br", "Cs", "Br", "Br", "Br"], "frac_coords": [[0.344, 0.656, 0.250], [0.100, 0.683, 0.894], [0.686, 0.314, 0.250], [0.900, 0.317, 0.106], [0.756, 0.619, 0.437], [0.381, 0.244, 0.063], [0.244, 0.381, 0.563], [0.000, 0.000, 0.000], [0.000, 0.000, 0.500], [0.076, 0.924, 0.250], [0.314, 0.686, 0.750], [0.924, 0.076, 0.750], [0.656, 0.344, 0.750], [0.683, 0.100, 0.394], [0.619, 0.756, 0.937], [0.317, 0.900, 0.606]], "density_g_cm3": 3.78, "spacegroup": "C2/c, No. 15", "e_form_raw_ev_per_atom": -1.07}


[2]
{"formula": "Cs4SrCd3Br12", "functional": "GGA-PBE", "state": "optimized geometry", "lattice": [[-6.162, 4.508, -6.294], [6.739, -5.148, -5.099], [-5.136, -6.142, 5.815]], "species": ["Br", "Cs", "Br", "Cs", "Br", "Br", "Br", "Br", "Br", "Cd", "Cd", "Cs", "Br", "Br", "Br", "Cd", "Br", "Cs", "Br", "Sr"], "frac_coords": [[0.750, 0.250, 0.500], [0.500, 0.500, 0.500], [0.250, 0.750, 0.500], [0.500, 0.000, 0.000], [0.739, 0.000, 0.739], [0.000, 0.261, 0.261], [0.000, 0.739, 0.739], [0.750, 0.500, 0.250], [0.739, 0.739, 0.000], [0.500, 0.000, 0.500], [0.500, 0.500, 0.000], [0.000, 0.000, 0.500], [0.261, 0.261, 0.000], [0.261, 0.000, 0.261], [0.500, 0.250, 0.750], [0.000, 0.500, 0.500], [0.500, 0.750, 0.250], [0.000, 0.500, 0.000], [0.250, 0.500, 0.750], [0.000, 0.000, 0.000]], "density_g_cm3": 4.26, "spacegroup": "Im-3m, No. 229", "e_form_raw_ev_per_atom": -1.42}


[3]
{"formula": "Cs3SrCd2Br9", "functional": "GGA-PBE", "state": "optimized geometry", "lattice": [[8.107, 0.000, 0.000], [-4.053, 7.021, 0.000], [0.000, 0.000, 9.993]], "species": ["Br", "Cd", "Br", "Cs", "Br", "Br", "Cd", "Br", "Br", "Cs", "Sr", "Br", "Br", "Cs", "Br"], "frac_coords": [[0.655, 0.828, 0.322], [0.333, 0.667, 0.160], [0.828, 0.655, 0.678], [0.000, 0.000, 0.000], [0.828, 0.172, 0.678], [0.172, 0.828, 0.322], [0.667, 0.333, 0.840], [0.172, 0.345, 0.322], [0.500, 0.500, 0.000], [0.333, 0.667, 0.678], [0.000, 0.000, 0.500], [0.000, 0.500, 0.000], [0.345, 0.172, 0.678], [0.667, 0.333, 0.322], [0.500, 0.000, 0.000]], "density_g_cm3": 4.18, "spacegroup": "P-3m1, No. 164", "e_form_raw_ev_per_atom": -1.49}


[4]
{"formula": "CsTbCdBr6", "functional": "GGA-PBE", "state": "optimized geometry", "lattice": [[7.356, 0.000, 0.000], [3.678, 6.370, 0.000], [0.000, 0.000, 8.111]], "species": ["Br", "Cs", "Br", "Br", "Cd", "Br", "Br", "Tb", "Br"], "frac_coords": [[0.620, 0.379, 0.703], [0.000, 0.000, 0.000], [0.379, 0.620, 0.297], [0.001, 0.620, 0.703], [0.333, 0.333, 0.500], [0.001, 0.379, 0.297], [0.620, 0.001, 0.297], [0.667, 0.667, 0.500], [0.379, 0.001, 0.703]], "density_g_cm3": 3.86, "spacegroup": "P312, No. 149", "e_form_raw_ev_per_atom": -1.54}


[5]
{"formula": "Cs2CdTcBr", "functional": "GGA-PBE", "state": "optimized geometry", "lattice": [[-1.204, -0.174, 7.206], [-5.149, -2.962, -0.932], [3.577, -6.357, 0.444]], "species": ["Cs", "Br", "Cd", "Tc", "Cs"], "frac_coords": [[0.500, 0.000, 0.000], [0.000, 0.500, 0.000], [0.000, 0.000, 0.000], [0.500, 0.500, 0.500], [0.000, 0.000, 0.500]], "density_g_cm3": 2.88, "spacegroup": "P4/mmm, No. 123", "e_form_raw_ev_per_atom": 0.77}


[6]
{"formula": "Cs2CdTeBr6", "functional": "GGA-PBE", "state": "optimized geometry", "lattice": [[-0.932, 8.151, 0.063], [-5.997, -0.729, 5.551], [0.408, 4.121, 7.045]], "species": ["Br", "Te", "Br", "Br", "Br", "Cd", "Cs", "Br", "Cs", "Br"], "frac_coords": [[0.260, 0.740, 0.000], [0.000, 0.000, 0.000], [0.239, 0.239, 0.522], [0.740, 0.260, 0.000], [0.740, 0.740, 0.000], [0.500, 0.500, 0.000], [0.750, 0.250, 0.500], [0.260, 0.260, 0.000], [0.250, 0.750, 0.500], [0.761, 0.761, 0.478]], "density_g_cm3": 4.22, "spacegroup": "I4/mmm, No. 139", "e_form_raw_ev_per_atom": -0.99}


[7]
{"formula": "Cs2TlCdBr5", "functional": "GGA-PBE", "state": "optimized geometry", "lattice": [[-5.003, -2.054, -0.904], [2.189, -2.102, -7.340], [4.001, -5.537, 7.075]], "species": ["Br", "Cd", "Br", "Tl", "Br", "Br", "Cs", "Br", "Cs"], "frac_coords": [[0.384, 0.630, 0.768], [0.500, 0.000, 0.000], [0.000, 0.000, 0.000], [0.000, 0.500, 0.000], [0.616, 0.862, 0.232], [0.616, 0.370, 0.232], [0.795, 0.795, 0.589], [0.384, 0.138, 0.768], [0.205, 0.205, 0.411]], "density_g_cm3": 4.37, "spacegroup": "Immm, No. 71", "e_form_raw_ev_per_atom": -1.23}


[8]
{"formula": "Cs2TlCd2Br7", "functional": "GGA-PBE", "state": "optimized geometry", "lattice": [[-4.932, 2.167, 1.536], [0.720, -2.028, 5.172], [4.419, 12.207, 7.214]], "species": ["Br", "Cs", "Br", "Tl", "Br", "Cs", "Br", "Br", "Br", "Cd", "Br", "Cd"], "frac_coords": [[0.910, 0.410, 0.180], [0.178, 0.178, 0.644], [0.306, 0.306, 0.387], [0.000, 0.000, 0.000], [0.500, 0.500, 0.000], [0.822, 0.822, 0.356], [0.090, 0.590, 0.820], [0.590, 0.090, 0.820], [0.410, 0.910, 0.180], [0.402, 0.402, 0.196], [0.694, 0.694, 0.613], [0.598, 0.598, 0.804]], "density_g_cm3": 4.64, "spacegroup": "Fmmm, No. 69", "e_form_raw_ev_per_atom": -1.15}


[9]
{"formula": "CsTlCd2Br8", "functional": "GGA-PBE", "state": "optimized geometry", "lattice": [[7.186, 0.018, 0.544], [0.050, 7.537, 1.752], [0.720, 2.386, 9.773]], "species": ["Br", "Br", "Br", "Br", "Cs", "Cd", "Br", "Cd", "Br", "Br", "Br", "Tl"], "frac_coords": [[0.190, 0.824, 0.861], [0.325, 0.256, 0.953], [0.901, 0.295, 0.707], [0.675, 0.744, 0.047], [0.000, 0.000, 0.500], [0.461, 0.652, 0.300], [0.099, 0.705, 0.293], [0.539, 0.348, 0.700], [0.810, 0.176, 0.139], [0.478, 0.263, 0.479], [0.522, 0.737, 0.521], [0.000, 0.000, 0.000]], "density_g_cm3": 4.02, "spacegroup": "P-1, No. 2", "e_form_raw_ev_per_atom": -0.88}


[10]
{"formula": "CsTlCdBr6", "functional": "GGA-PBE", "state": "optimized geometry", "lattice": [[-6.999, -0.563, 1.941], [-1.763, -1.192, 6.967], [-0.285, 8.035, 1.302]], "species": ["Br", "Br", "Tl", "Br", "Br", "Cs", "Br", "Br", "Cd"], "frac_coords": [[0.001, 0.623, 0.701], [0.623, 0.376, 0.701], [0.333, 0.333, 0.500], [0.623, 0.001, 0.299], [0.376, 0.623, 0.299], [0.000, 0.000, 0.000], [0.376, 0.001, 0.701], [0.001, 0.376, 0.299], [0.667, 0.667, 0.500]], "density_g_cm3": 4.12, "spacegroup": "P312, No. 149", "e_form_raw_ev_per_atom": -0.91}


[11]
{"formula": "CsTl3Cd4Br12", "functional": "GGA-PBE", "state": "optimized geometry", "lattice": [[-7.520, 7.072, -0.603], [-2.141, -5.416, 8.544], [8.512, 5.383, 2.344]], "species": ["Br", "Tl", "Br", "Br", "Br", "Br", "Tl", "Cd", "Br", "Br", "Br", "Br", "Cd", "Tl", "Cs", "Br", "Cd", "Br", "Cd", "Br"], "frac_coords": [[0.664, 0.803, 0.049], [0.000, 0.544, 0.456], [0.893, 0.500, 0.107], [0.951, 0.197, 0.336], [0.049, 0.664, 0.803], [0.500, 0.345, 0.655], [0.456, 0.000, 0.544], [0.049, 0.500, 0.951], [0.197, 0.336, 0.951], [0.345, 0.655, 0.500], [0.803, 0.049, 0.664], [0.500, 0.107, 0.893], [0.500, 0.500, 0.500], [0.544, 0.456, 0.000], [0.000, 0.000, 0.000], [0.336, 0.951, 0.197], [0.500, 0.951, 0.049], [0.655, 0.500, 0.345], [0.951, 0.049, 0.500], [0.107, 0.893, 0.500]], "density_g_cm3": 3.69, "spacegroup": "R32, No. 155", "e_form_raw_ev_per_atom": -0.89}


[12]
{"formula": "CsTlCd2Br6", "functional": "GGA-PBE", "state": "optimized geometry", "lattice": [[7.447, -0.609, -0.632], [1.675, 10.699, 0.015], [1.675, -0.381, 10.692]], "species": ["Cs", "Br", "Cd", "Br", "Br", "Cd", "Br", "Cd", "Br", "Cs", "Cd", "Br", "Br", "Tl", "Br", "Br", "Tl", "Br", "Br", "Br"], "frac_coords": [[0.750, 0.104, 0.896], [0.703, 0.779, 0.987], [0.278, 0.373, 0.203], [0.883, 0.733, 0.598], [0.203, 0.987, 0.779], [0.778, 0.203, 0.373], [0.128, 0.588, 0.161], [0.722, 0.627, 0.797], [0.297, 0.221, 0.013], [0.250, 0.896, 0.104], [0.222, 0.797, 0.627], [0.617, 0.402, 0.267], [0.872, 0.412, 0.839], [0.250, 0.297, 0.703], [0.117, 0.267, 0.402], [0.372, 0.839, 0.412], [0.750, 0.703, 0.297], [0.383, 0.598, 0.733], [0.797, 0.013, 0.221], [0.628, 0.161, 0.588]], "density_g_cm3": 3.96, "spacegroup": "C2/c, No. 15", "e_form_raw_ev_per_atom": -1.04}


[13]
{"formula": "Cs3Tl3CdBr8", "functional": "GGA-PBE", "state": "optimized geometry", "lattice": [[-4.394, 5.926, -6.770], [-5.523, -4.558, 6.999], [6.090, 7.118, 2.278]], "species": ["Tl", "Tl", "Cs", "Br", "Br", "Br", "Cd", "Br", "Br", "Br", "Br", "Cs", "Cs", "Tl", "Br"], "frac_coords": [[0.000, 0.000, 0.000], [0.000, 0.500, 0.000], [0.000, 0.500, 0.500], [0.793, 0.987, 0.280], [0.207, 0.413, 0.720], [0.193, 0.987, 0.280], [0.000, 0.000, 0.500], [0.242, 0.484, 0.227], [0.793, 0.587, 0.280], [0.207, 0.013, 0.720], [0.807, 0.013, 0.720], [0.500, 0.500, 0.500], [0.500, 0.000, 0.500], [0.500, 0.500, 0.000], [0.758, 0.516, 0.773]], "density_g_cm3": 4.37, "spacegroup": "R-3m, No. 166", "e_form_raw_ev_per_atom": -1.22}


[14]
{"formula": "Cs2Tl3CdBr6", "functional": "GGA-PBE", "state": "optimized geometry", "lattice": [[-6.560, -3.960, -3.543], [7.836, -1.576, -2.717], [0.237, -4.002, 7.430]], "species": ["Br", "Br", "Tl", "Tl", "Br", "Br", "Br", "Cd", "Cs", "Tl", "Br", "Cs"], "frac_coords": [[0.384, 0.083, 0.251], [0.220, 0.220, 0.733], [0.166, 0.834, 0.500], [0.500, 0.500, 0.500], [0.780, 0.780, 0.267], [0.616, 0.917, 0.749], [0.083, 0.384, 0.251], [0.000, 0.000, 0.000], [0.665, 0.335, 0.000], [0.834, 0.166, 0.500], [0.917, 0.616, 0.749], [0.335, 0.665, 0.000]], "density_g_cm3": 4.97, "spacegroup": "C2/m, No. 12", "e_form_raw_ev_per_atom": -1.04}


[15]
{"formula": "Cs2TlCdBr6", "functional": "GGA-PBE", "state": "optimized geometry", "lattice": [[8.117, 0.000, 0.000], [0.000, 8.117, 0.000], [4.059, 4.059, 5.754]], "species": ["Br", "Br", "Br", "Cs", "Br", "Cs", "Br", "Cd", "Tl", "Br"], "frac_coords": [[0.743, 0.257, 0.000], [0.257, 0.257, 0.000], [0.257, 0.743, 0.000], [0.750, 0.250, 0.500], [0.743, 0.743, 0.514], [0.250, 0.750, 0.500], [0.257, 0.257, 0.486], [0.500, 0.500, 0.000], [0.000, 0.000, 0.000], [0.743, 0.743, 0.000]], "density_g_cm3": 4.65, "spacegroup": "I4/mmm, No. 139", "e_form_raw_ev_per_atom": -1.16}


[16]
{"formula": "CsTl2CdBr8", "functional": "GGA-PBE", "state": "optimized geometry", "lattice": [[7.201, 0.000, 0.000], [3.601, 6.236, 0.000], [3.601, 2.079, 10.266]], "species": ["Br", "Br", "Br", "Tl", "Cd", "Br", "Br", "Br", "Cs", "Br", "Br", "Tl"], "frac_coords": [[0.830, 0.830, 0.509], [0.286, 0.908, 0.159], [0.648, 0.286, 0.159], [0.257, 0.257, 0.229], [0.000, 0.000, 0.000], [0.170, 0.170, 0.491], [0.092, 0.352, 0.841], [0.352, 0.714, 0.841], [0.500, 0.500, 0.500], [0.908, 0.648, 0.159], [0.714, 0.092, 0.841], [0.743, 0.743, 0.771]], "density_g_cm3": 4.66, "spacegroup": "R-3, No. 148", "e_form_raw_ev_per_atom": -0.76}


[17]
{"formula": "Cs2TmCdBr6", "functional": "GGA-PBE", "state": "optimized geometry", "lattice": [[-0.693, 4.444, -6.893], [-7.424, -3.284, -1.371], [-4.930, 8.619, 6.052]], "species": ["Br", "Br", "Cs", "Cd", "Br", "Cs", "Br", "Cs", "Br", "Tm", "Tm", "Br", "Br", "Br", "Br", "Br", "Br", "Br", "Cs", "Cd"], "frac_coords": [[0.262, 0.010, 0.500], [0.500, 0.249, 0.262], [0.500, 0.751, 0.750], [0.500, 0.251, 0.000], [0.500, 0.249, 0.738], [0.000, 0.249, 0.750], [0.739, 0.486, 0.500], [0.000, 0.249, 0.250], [0.762, 0.990, 0.000], [0.000, 0.751, 0.000], [0.500, 0.249, 0.500], [0.000, 0.751, 0.238], [0.761, 0.514, 0.000], [0.000, 0.751, 0.762], [0.738, 0.010, 0.500], [0.261, 0.486, 0.500], [0.239, 0.514, 0.000], [0.238, 0.990, 0.000], [0.500, 0.751, 0.250], [0.000, 0.749, 0.500]], "density_g_cm3": 4.33, "spacegroup": "Pmmn, No. 59", "e_form_raw_ev_per_atom": -1.54}


[18]
{"formula": "CsTmCdBr6", "functional": "GGA-PBE", "state": "optimized geometry", "lattice": [[7.286, 0.000, 0.000], [3.643, 6.310, 0.000], [0.000, 0.000, 8.151]], "species": ["Cs", "Cd", "Br", "Tm", "Br", "Br", "Br", "Br", "Br"], "frac_coords": [[0.000, 0.000, 0.000], [0.333, 0.333, 0.500], [0.625, 0.380, 0.699], [0.667, 0.667, 0.500], [0.996, 0.625, 0.699], [0.380, 0.625, 0.301], [0.380, 0.996, 0.699], [0.996, 0.380, 0.301], [0.625, 0.996, 0.301]], "density_g_cm3": 3.96, "spacegroup": "P312, No. 149", "e_form_raw_ev_per_atom": -1.54}


[19]
{"formula": "CsZn2CdBr8", "functional": "GGA-PBE", "state": "optimized geometry", "lattice": [[-2.052, -6.436, -1.146], [3.371, -5.232, 2.866], [-5.527, -3.397, 8.489]], "species": ["Cd", "Br", "Cs", "Br", "Br", "Zn", "Br", "Br", "Br", "Br", "Zn", "Br"], "frac_coords": [[0.000, 0.000, 0.000], [0.283, 0.934, 0.167], [0.500, 0.500, 0.500], [0.173, 0.173, 0.481], [0.066, 0.383, 0.833], [0.255, 0.255, 0.236], [0.717, 0.066, 0.833], [0.934, 0.617, 0.167], [0.617, 0.283, 0.167], [0.827, 0.827, 0.519], [0.745, 0.745, 0.764], [0.383, 0.717, 0.833]], "density_g_cm3": 4.18, "spacegroup": "R-3, No. 148", "e_form_raw_ev_per_atom": -0.88}


[20]
{"formula": "CdCuBr6", "functional": "GGA-PBE", "state": "optimized geometry", "lattice": [[6.640, 0.536, -0.595], [3.780, 6.849, -1.092], [2.970, 1.734, 5.109]], "species": ["Br", "Br", "Cd", "Br", "Br", "Cu", "Br", "Br"], "frac_coords": [[0.250, 0.900, 0.251], [0.750, 0.100, 0.749], [0.500, 0.500, 0.500], [0.604, 0.201, 0.262], [0.042, 0.485, 0.742], [0.000, 0.000, 0.000], [0.958, 0.515, 0.258], [0.396, 0.799, 0.738]], "density_g_cm3": 4.52, "spacegroup": "P-1, No. 2", "e_form_raw_ev_per_atom": -0.26}